Entry 1
BaCrIr2 PBE-GGA relaxed; magnetization = 2.0 μB/cell; calculated volume = 20.7 Å³/atom; crystal system = tetragonal
1.0
3.2743 0.0000 0.0000
0.0000 3.2743 0.0000
0.0000 0.0000 7.7103
Ba Cr Ir
1 1 2
direct
0.0000 0.0000 0.4837
0.5000 0.5000 0.8532
0.0000 0.0000 0.9778
0.5000 0.5000 0.1853



Entry 2
BaCrIr2 PBE-GGA relaxed; magnetization = 1.8 μB/cell; calculated volume = 18.9 Å³/atom; crystal system = monoclinic
1.0
-0.8996 -0.2839 2.9389
2.5502 -1.6093 0.6252
6.3508 5.1457 2.4411
Ba Cr Ir
1 1 2
direct
0.5000 0.2500 0.2500
0.5000 0.7500 0.7500
0.0000 0.0711 0.9291
0.0000 0.4289 0.5709



Entry 3
BaCrIr2 PBE-GGA relaxed; magnetization = 5.0 μB/cell; calculated volume = 26.8 Å³/atom; crystal system = tetragonal
1.0
-0.2279 -3.3118 -3.9650
5.1250 -0.6448 0.2440
1.4390 -8.0589 3.2764
Cr Ir Ba
2 4 2
direct
0.5000 0.5000 0.0000
0.2500 0.7500 0.5000
0.3752 0.1250 0.2500
0.3748 0.6250 0.2500
0.3750 0.6248 0.7500
0.8750 0.6252 0.7500
0.0000 0.0000 0.0000
0.7500 0.2500 0.5000



The structure with the least stability is entry 1.



Entry 1
BaCrIr2 PBE-GGA relaxed; magnetization = 0.0 μB/cell; calculated volume = 19.1 Å³/atom; crystal system = cubic
1.0
0.0000 3.3676 3.3676
3.3676 0.0000 3.3676
3.3676 3.3676 0.0000
Cr Ir Ba
1 2 1
direct
0.0000 0.0000 0.0000
0.2500 0.2500 0.2500
0.7500 0.7500 0.7500
0.5000 0.5000 0.5000



Entry 2
BaCrIr2 PBE-GGA relaxed; magnetization = 3.7 μB/cell; calculated volume = 20.0 Å³/atom; crystal system = tetragonal
1.0
4.1952 0.0000 0.0000
0.0000 4.3643 0.0000
0.0000 0.0000 4.3643
Ba Cr Ir
1 1 2
direct
0.5000 0.5000 0.0000
0.5000 0.0000 0.5000
0.0000 0.0000 0.0000
0.0000 0.5000 0.5000



The structure with the least stability is entry 1.



Entry 1
BaCr2Ir PBE-GGA relaxed; magnetization = 2.0 μB/cell; calculated volume = 19.9 Å³/atom; crystal system = tetragonal
1.0
3.1499 0.0000 0.0000
0.0000 3.1506 0.0000
0.0000 0.0000 8.0095
Ba Cr Ir
1 2 1
direct
0.5000 0.5000 0.7355
0.0000 0.0000 0.0864
0.5000 0.5000 0.2567
0.0000 0.0000 0.4214



Entry 2
BaCr2Ir PBE-GGA relaxed; magnetization = 0.7 μB/cell; calculated volume = 24.0 Å³/atom; crystal system = trigonal
1.0
4.3381 0.0036 -0.0003
2.1678 3.7576 -0.0003
2.1686 1.2537 5.9030
Ba Cr Ir
1 2 1
direct
0.2471 0.2471 0.2578
0.0568 0.0568 0.8297
0.7558 0.7558 0.7330
0.4403 0.4403 0.6795



Entry 3
BaCr2Ir PBE-GGA relaxed; magnetization = 13.4 μB/cell; calculated volume = 29.1 Å³/atom; crystal system = tetragonal
1.0
5.4188 0.0000 0.0000
0.0000 5.4188 0.0000
2.7094 2.7094 7.9398
Cr Ir Ba
4 2 2
direct
0.8750 0.1250 0.2500
0.8750 0.6250 0.2500
0.3750 0.1250 0.7500
0.8750 0.1250 0.7500
0.0000 0.0000 0.0000
0.7500 0.2500 0.5000
0.5000 0.5000 0.0000
0.2500 0.7500 0.5000



The structure with the least stability is entry 3.



Entry 1
BaCr2Ir PBE-GGA relaxed; magnetization = 0.0 μB/cell; calculated volume = 17.0 Å³/atom; crystal system = cubic
1.0
2.3835 -3.7815 1.0149
-1.9640 -3.3698 2.4080
-1.0296 -3.9743 -2.0387
Cr Ir Ba
2 1 1
direct
0.2500 0.2500 0.2500
0.7500 0.7500 0.7500
0.5000 0.5000 0.5000
0.0000 0.0000 0.0000



Entry 2
BaCr2Ir PBE-GGA relaxed; magnetization = 0.0 μB/cell; calculated volume = 20.8 Å³/atom; crystal system = monoclinic
1.0
-3.4972 1.3982 -1.9132
0.4314 -1.9388 -2.2055
-3.3427 -5.6725 1.9646
Ba Cr Ir
1 2 1
direct
0.5000 0.7500 0.7500
0.0000 0.9261 0.1171
0.0000 0.5739 0.3829
0.5000 0.2500 0.2500



Entry 3
BaCr2Ir PBE-GGA relaxed; magnetization = 8.8 μB/cell; calculated volume = 22.0 Å³/atom; crystal system = cubic
1.0
-2.2793 3.7898 2.3149
-4.8001 0.9830 -0.9537
-3.4722 -0.9184 3.4665
Ba Cr Ir
1 2 1
direct
0.5000 0.5000 0.5000
0.0000 0.0000 0.0000
0.2500 0.2500 0.2500
0.7500 0.7500 0.7500



Entry 4
BaCr2Ir PBE-GGA relaxed; magnetization = 0.0 μB/cell; calculated volume = 21.1 Å³/atom; crystal system = tetragonal
1.0
-1.6723 -0.7212 3.8884
3.7842 -1.5436 1.3412
1.2477 4.2024 1.3161
Ba Cr Ir
1 2 1
direct
0.0000 0.5000 0.5000
0.0000 0.0000 0.0000
0.5000 0.5000 0.0000
0.5000 0.0000 0.5000



The structure with the least stability is entry 1.



Entry 1
Ba2CrIr PBE-GGA relaxed; magnetization = 7.1 μB/cell; calculated volume = 42.1 Å³/atom; crystal system = tetragonal
1.0
-3.2601 11.2529 -1.7321
-1.3130 -2.1613 -11.5698
-4.5808 3.9387 -6.2772
Cr Ir Ba
2 2 4
direct
0.5000 0.5000 0.0000
0.2500 0.7500 0.5000
0.0000 0.0000 0.0000
0.7500 0.2500 0.5000
0.8013 0.1250 0.2500
0.9487 0.6250 0.2500
0.3750 0.1987 0.7500
0.8750 0.0513 0.7500



Entry 2
Ba2CrIr PBE-GGA relaxed; magnetization = 3.3 μB/cell; calculated volume = 38.8 Å³/atom; crystal system = orthorhombic
1.0
-6.6011 1.3091 4.5560
-7.3428 -3.4718 0.2749
8.0812 -0.8563 -0.0812
Ba Cr Ir
2 1 1
direct
0.9942 0.9942 0.0000
0.7490 0.2490 0.5000
0.4089 0.4089 0.0000
0.3479 0.8479 0.5000



Entry 3
Ba2CrIr PBE-GGA relaxed; magnetization = 5.0 μB/cell; calculated volume = 29.9 Å³/atom; crystal system = orthorhombic
1.0
5.2775 -0.0116 0.0103
-5.0868 6.8144 0.0254
-0.0024 2.6952 3.3436
Ba Cr Ir
2 1 1
direct
0.0000 0.0000 0.0000
0.0000 0.5000 0.5000
0.5000 0.5000 0.0000
0.5000 0.0000 0.5000



The structure with the least stability is entry 3.



Entry 1
KBaCr3 PBE-GGA relaxed; magnetization = 15.3 μB/cell; calculated volume = 39.7 Å³/atom; crystal system = cubic
1.0
5.8358 0.0000 0.0000
0.0000 5.8358 0.0000
0.0000 0.0000 5.8358
Cr K Ba
3 1 1
direct
0.0000 0.5000 0.0000
0.0000 0.0000 0.5000
0.5000 0.0000 0.0000
0.0000 0.0000 0.0000
0.5000 0.5000 0.5000



Entry 2
KBaCr3 PBE-GGA relaxed; magnetization = 15.3 μB/cell; calculated volume = 51.2 Å³/atom; crystal system = cubic
1.0
-3.3068 -5.4186 -0.0085
0.5235 -0.3095 -6.3187
5.3933 -3.2923 0.6081
Cr K Ba
3 1 1
direct
0.0000 0.5000 0.0000
0.0000 0.0000 0.5000
0.5000 0.0000 0.0000
0.5000 0.5000 0.5000
0.0000 0.0000 0.0000



The structure with the least stability is entry 2.



Entry 1
KBa3Cr PBE-GGA relaxed; magnetization = 1.4 μB/cell; calculated volume = 56.0 Å³/atom; crystal system = cubic
1.0
-1.7702 -0.4622 -6.2815
0.7832 -6.4904 0.2569
-6.2496 -0.6824 1.8114
Cr K Ba
1 1 3
direct
0.5000 0.5000 0.5000
0.0000 0.0000 0.0000
0.0000 0.5000 0.0000
0.0000 0.0000 0.5000
0.5000 0.0000 0.0000



Entry 2
KBa3Cr PBE-GGA relaxed; magnetization = 0.0 μB/cell; calculated volume = 49.0 Å³/atom; crystal system = cubic
1.0
-3.9573 -1.5814 4.5806
0.4388 -6.0065 -1.6945
4.8259 -0.7505 3.9102
Cr K Ba
1 1 3
direct
0.0000 0.0000 0.0000
0.5000 0.5000 0.5000
0.0000 0.5000 0.0000
0.0000 0.0000 0.5000
0.5000 0.0000 0.0000



The structure with the least stability is entry 1.